Material: TlZn3Sn3
Method: DFT, PBE
State: optimized geometry

The structure in POSCAR format:
```
TlZn3Sn3
1.0
7.5402 0.0000 0.0000
0.0000 7.5402 0.0000
0.0000 0.0000 7.5402
Zn Sn Tl
6 6 2
Cartesian
3.7701 0.0000 5.6552 Zn
5.6552 3.7701 0.0000 Zn
0.0000 1.8851 3.7701 Zn
3.7701 0.0000 1.8851 Zn
1.8851 3.7701 0.0000 Zn
0.0000 5.6552 3.7701 Zn
0.0000 3.7701 1.8851 Sn
5.6552 0.0000 3.7701 Sn
3.7701 5.6552 0.0000 Sn
0.0000 3.7701 5.6552 Sn
3.7701 1.8851 0.0000 Sn
1.8851 0.0000 3.7701 Sn
0.0000 0.0000 0.0000 Tl
3.7701 3.7701 3.7701 Tl
```

Properties
The value obtained for the theoretical density is 5.86 g/cm3. The value obtained for the calculated formation energy is 0.282 eV per atom.